The following is a DFT calculation (GGA+U) of an optimized crystal structure of VI2BrO.

a b c (Å): 5.8582 5.8582 3.6805
angles (deg): 90.00 90.00 90.00
Positions (direct):
V (0.0000, 0.0000, 0.0000)
I (0.0000, 0.5000, 0.0000)
I (0.5000, 0.0000, 0.0000)
Br (0.5000, 0.5000, 0.5000)
O (0.0000, 0.0000, 0.5000)

Calculated values
**Theoretical density**: 5.27 g cm⁻³
**Fermi-level density of states**: 0.809 states/eV per atom
**Polymorph energy (0 for the lowest one)**: 0.000 eV/f.u.